Computed, not measured: TbPr2Nd6Er after structural relaxation at the PBE-GGA level of DFT.

Unit cell a=9.906 b=8.994 c=8.994 alpha=118.09 beta=94.47 gamma=94.47
Fractional positions:
1 Tb 0.250 0.981 0.019
2 Tb 0.750 0.019 0.981
3 Pr 0.458 0.805 0.705
4 Pr 0.042 0.295 0.195
5 Pr 0.542 0.195 0.295
6 Pr 0.958 0.705 0.805
7 Nd 0.055 0.122 0.751
8 Nd 0.445 0.249 0.878
9 Nd 0.945 0.878 0.249
10 Nd 0.555 0.751 0.122
11 Nd 0.310 0.985 0.426
12 Nd 0.190 0.574 0.015
13 Nd 0.690 0.015 0.574
14 Nd 0.810 0.426 0.985
15 Nd 0.119 0.707 0.498
16 Nd 0.381 0.502 0.293
17 Nd 0.881 0.293 0.502
18 Nd 0.619 0.498 0.707
19 Er 0.250 0.408 0.592
20 Er 0.750 0.592 0.408

The calculation puts the formation energy at 0.11 eV per atom. Its energy is -4.62 eV/atom. Its space group is C2/c, No. 15.

***

Computed, not measured: Tb4AsS3 after structural relaxation at the PBE-GGA level of DFT.

Unit cell a=5.632 b=5.632 c=5.632 alpha=90.00 beta=90.00 gamma=90.00
Fractional positions:
1 Tb 0.500 0.000 0.000
2 Tb 0.000 0.500 0.000
3 Tb 0.000 0.000 0.500
4 Tb 0.500 0.500 0.500
5 As 0.000 0.000 0.000
6 S 0.000 0.500 0.500
7 S 0.500 0.000 0.500
8 S 0.500 0.500 0.000

For the uncorrected formation energy, the calculation gives -1.915 eV/atom. Its energy is -6.36 eV/atom. Its space group is Pm-3m, No. 221.

***

Computed, not measured: LaNdRh after structural relaxation at the PBE-GGA level of DFT.

Unit cell a=6.527 b=4.159 c=4.159 alpha=120.00 beta=90.00 gamma=90.00
Fractional positions:
1 Rh 0.003 0.000 0.000
2 Nd 0.763 0.667 0.333
3 La 0.234 0.333 0.667

The calculation puts the formation energy at -0.50 eV per atom. Its energy is -6.18 eV/atom. Its space group is P3m1, No. 156.

***

Computed, not measured: Ac8Si3PSe4 after structural relaxation at the PBE-GGA level of DFT.

Unit cell a=9.065 b=9.076 c=9.065 alpha=119.96 beta=120.00 gamma=90.00
Fractional positions:
1 Ac 0.245 0.735 0.990
2 Ac 0.245 0.735 0.490
3 Ac 0.254 0.262 0.508
4 Ac 0.745 0.735 0.990
5 Ac 0.255 0.265 0.010
6 Ac 0.746 0.738 0.492
7 Ac 0.755 0.265 0.510
8 Ac 0.755 0.265 0.010
9 Si 0.500 0.500 0.000
10 Si 0.500 0.500 0.500
11 Si 0.000 0.500 0.500
12 P 0.000 0.500 0.000
13 Se 0.500 0.000 0.000
14 Se 0.500 0.000 0.500
15 Se 0.000 0.000 0.000
16 Se 0.000 0.000 0.500

For the uncorrected formation energy, the calculation gives -1.390 eV/atom. Its energy is -5.67 eV/atom. Its space group is R-3m, No. 166.

***

Computed, not measured: Ho7Mg2Cd2 after structural relaxation at the PBE-GGA level of DFT.

Unit cell a=6.653 b=8.573 c=6.653 alpha=90.01 beta=117.52 gamma=89.99
Fractional positions:
1 Ho 0.000 0.298 0.500
2 Ho 0.500 0.702 0.000
3 Ho 0.000 0.702 0.500
4 Ho 0.500 0.298 0.000
5 Ho 0.000 0.000 0.000
6 Ho 0.500 0.793 0.500
7 Ho 0.500 0.207 0.500
8 Mg 0.793 0.500 0.793
9 Mg 0.207 0.500 0.207
10 Cd 0.725 0.000 0.275
11 Cd 0.275 0.000 0.725

The calculation puts the formation energy at 0.17 eV per atom. Its energy is -3.20 eV/atom. Its space group is Cmmm, No. 65.

***

Computed, not measured: Pm2Zn5Ni3 after structural relaxation at the PBE-GGA level of DFT.

Unit cell a=5.790 b=8.319 c=8.319 alpha=75.33 beta=69.63 gamma=69.63
Fractional positions:
1 Pm 0.124 0.644 0.107
2 Pm 0.624 0.107 0.644
3 Pm 0.876 0.356 0.893
4 Pm 0.376 0.893 0.356
5 Zn 0.369 0.246 0.016
6 Zn 0.869 0.016 0.246
7 Zn 0.631 0.754 0.984
8 Zn 0.131 0.984 0.754
9 Zn 0.528 0.722 0.722
10 Zn 0.472 0.278 0.278
11 Zn 0.750 0.500 0.500
12 Zn 0.250 0.500 0.500
13 Zn 0.972 0.278 0.278
14 Zn 0.028 0.722 0.722
15 Ni 0.387 0.462 0.763
16 Ni 0.887 0.763 0.462
17 Ni 0.613 0.538 0.237
18 Ni 0.113 0.237 0.538
19 Ni 0.250 0.000 0.000
20 Ni 0.750 0.000 0.000

The calculation puts the formation energy at -0.31 eV per atom. Its energy is -3.63 eV/atom. Its space group is Ibam, No. 72.